{"formula": "NbCo2F", "functional": "PBE+U", "state": "optimized geometry", "de_polymorph_mev_per_atom": 390.3, "density_g_cm3": 6.83, "lattice": [[2.510, -3.323, -1.036], [0.855, -3.033, 2.913], [-1.695, -3.920, -0.423]], "species": ["Nb", "Co", "Co", "F"], "fractional_positions": [[0.500, 0.500, 0.500], [0.250, 0.250, 0.250], [0.750, 0.750, 0.750], [0.000, 0.000, 0.000]]}